Ni2PtF | GGA+U | optimized geometry

a b c (Å): 4.184 4.184 4.184
angles (deg): 60.00 60.00 60.00
Positions (direct):
Pt 0.500 0.500 0.500
Ni 0.750 0.750 0.750
Ni 0.250 0.250 0.250
F 0.000 0.000 0.000

Computed properties:
The energy above the lowest structure with this stoichiometry is 588.2 meV per atom. For the density of states at the Fermi level, the calculation gives 1.924 states/eV/f.u. Its symmetry is Fm-3m.